A relaxed Sr2ZrCd2 crystal. Source: the Alexandria database, functional PBE-GGA.

```
10
Lattice="-1.999 5.327 5.314 -0.530 -5.584 5.399 5.126 0.700 1.227" Properties=species:S:1:pos:R:3 pbc="T T T"
Sr 1.850 -2.488 5.208
Sr 0.773 -0.641 8.654
Sr 0.746 2.930 6.732
Sr 1.823 1.084 3.286
Zr 0.000 0.000 0.000
Zr -1.265 -0.128 5.356
Cd -1.190 -2.886 6.615
Cd -2.067 1.068 8.025
Cd -1.340 2.629 4.097
Cd -0.463 -1.325 2.688
```

Summary:
- Formation energy: 0.0732 eV per atom
- Magnetic moment: 0.00 μB per cell
- VASP energy: -26.8 eV/cell